(1)
Here is a relaxed structure of Tc4As5 from Alexandria. Energies are from PBE-GGA.

Cell and atoms, written as extended XYZ:
```
9
Lattice="-4.884 4.884 1.534 4.884 -4.884 1.534 4.884 4.884 -1.534" Properties=species:S:1:pos:R:3 pbc="T T T"
Tc 3.361 0.000 0.000
Tc 6.408 0.000 0.000
Tc 0.000 3.361 0.000
Tc 0.000 6.408 0.000
As 0.000 0.000 0.000
As 3.219 3.219 0.000
As 1.665 -1.665 1.534
As -1.665 1.665 1.534
As 1.665 1.665 1.534
```

Values from the calculation:
Its crystal system is tetragonal. The magnetic moment is 0.00 μB per formula unit. The value obtained for the calculated density is 8.70 Mg/m³. The symmetry is I4/mmm. The value obtained for the formation energy is 0.4099 eV per atom. The value obtained for the calculated volume is 146 Å³ per cell.

---

(2)
Here is a relaxed structure of ThAgIr2 from Alexandria. Energies are from PBE-GGA.

Cell and atoms, written as extended XYZ:
```
4
Lattice="4.328 0.000 0.000 0.000 4.328 0.000 0.000 0.000 4.019" Properties=species:S:1:pos:R:3 pbc="T T T"
Th 0.000 0.000 0.000
Ag 2.164 2.164 0.000
Ir 0.000 2.164 2.010
Ir 2.164 0.000 2.010
```

Values from the calculation:
Its crystal system is tetragonal. The magnetic moment is 0.00 μB per formula unit. The value obtained for the calculated density is 15.98 Mg/m³. The symmetry is P4/mmm. The value obtained for the formation energy is -0.4368 eV per atom. The value obtained for the calculated volume is 75 Å³ per cell.

---

(3)
Here is a relaxed structure of CaTe2Ru from Alexandria. Energies are from PBE-GGA.

Cell and atoms, written as extended XYZ:
```
4
Lattice="-2.033 3.055 4.164 2.033 -3.055 4.164 2.033 3.055 -4.164" Properties=species:S:1:pos:R:3 pbc="T T T"
Ca 0.000 0.000 0.000
Te 2.033 0.000 2.495
Te 0.000 3.055 1.669
Ru 0.000 0.000 4.164
```

Values from the calculation:
Its crystal system is orthorhombic. As for the formation energy from raw total energies: -35.9 kJ/mol of atoms. The magnetic moment is 0.00 μB per formula unit. The value obtained for the calculated density is 6.36 Mg/m³. The symmetry is Immm. The value obtained for the calculated volume is 103 Å³ per cell.

---

(4)
Here is a relaxed structure of HfCoHgRh from Alexandria. Energies are from PBE-GGA.

Cell and atoms, written as extended XYZ:
```
4
Lattice="0.000 3.184 3.184 3.184 0.000 3.184 3.184 3.184 0.000" Properties=species:S:1:pos:R:3 pbc="T T T"
Hf 0.000 0.000 0.000
Co 4.776 4.776 4.776
Hg 3.184 3.184 3.184
Rh 1.592 1.592 1.592
```

Values from the calculation:
Its crystal system is cubic. The magnetic moment is 0.00 μB per formula unit. The value obtained for the calculated density is 13.91 Mg/m³. The symmetry is F-43m. The value obtained for the formation energy is -0.2815 eV per atom. The value obtained for the calculated volume is 65 Å³ per cell.

---

(5)
Here is a relaxed structure of Tb6Pd5Rh from Alexandria. Energies are from PBE-GGA.

Cell and atoms, written as extended XYZ:
```
12
Lattice="-2.499 3.463 7.481 2.499 -3.463 7.481 2.499 3.463 -7.481" Properties=species:S:1:pos:R:3 pbc="T T T"
Tb 2.499 1.717 -2.456
Tb 0.000 1.703 0.000
Tb 2.499 1.717 2.456
Tb 0.000 1.746 5.025
Tb 0.000 5.222 0.000
Tb 0.000 1.746 9.937
Pd 0.000 0.000 2.511
Pd 2.499 0.000 4.975
Pd 0.000 0.000 7.481
Pd 0.000 3.463 2.506
Pd 0.000 0.000 12.451
Rh 2.499 0.000 0.000
```

Values from the calculation:
Its crystal system is orthorhombic. The magnetic moment is 0.00 μB per formula unit. The value obtained for the calculated density is 10.19 Mg/m³. The symmetry is Immm. The value obtained for the formation energy is -0.8699 eV per atom. The value obtained for the calculated volume is 259 Å³ per cell.

---

(6)
Here is a relaxed structure of BaVAsBr2 from Alexandria. Energies are from PBE-GGA.

Cell and atoms, written as extended XYZ:
```
5
Lattice="6.089 0.000 0.000 0.000 6.089 0.000 0.000 0.000 6.496" Properties=species:S:1:pos:R:3 pbc="T T T"
Ba 0.000 0.000 0.000
V 3.045 3.045 3.248
As 0.000 0.000 3.248
Br 0.000 3.045 0.000
Br 3.045 0.000 0.000
```

Values from the calculation:
Its crystal system is tetragonal. As for the formation energy from raw total energies: 52.2 kJ/mol of atoms. The magnetic moment is 1.28 μB per formula unit. The value obtained for the calculated density is 2.92 Mg/m³. The symmetry is P4/mmm. The value obtained for the calculated volume is 241 Å³ per cell.

---

(7)
Here is a relaxed structure of AlMoAs2 from Alexandria. Energies are from PBE-GGA.

Cell and atoms, written as extended XYZ:
```
4
Lattice="3.311 0.000 0.000 0.000 3.311 0.000 0.000 0.000 6.782" Properties=species:S:1:pos:R:3 pbc="T T T"
Al 0.000 0.000 0.000
Mo 1.656 1.656 5.294
As 0.000 0.000 4.126
As 1.656 1.656 1.231
```

Values from the calculation:
Its crystal system is tetragonal. The magnetic moment is 0.00 μB per formula unit. The value obtained for the calculated density is 6.09 Mg/m³. The symmetry is P4mm. The value obtained for the formation energy is -0.0551 eV per atom. The value obtained for the calculated volume is 74 Å³ per cell.

---

(8)
Here is a relaxed structure of Ca2LaSi from Alexandria. Energies are from PBE-GGA.

Cell and atoms, written as extended XYZ:
```
4
Lattice="4.770 0.000 0.000 0.000 4.770 0.000 0.000 0.000 5.109" Properties=species:S:1:pos:R:3 pbc="T T T"
Ca 0.000 2.385 0.000
Ca 2.385 0.000 0.000
La 0.000 0.000 2.554
Si 2.385 2.385 2.554
```

Values from the calculation:
Its crystal system is tetragonal. As for the formation energy from raw total energies: -16.2 kJ/mol of atoms. The magnetic moment is 0.00 μB per formula unit. The value obtained for the calculated density is 3.53 Mg/m³. The symmetry is P4/mmm. The value obtained for the calculated volume is 116 Å³ per cell.

---

What did the sixth record say?
Here is a relaxed structure of BaVAsBr2 from Alexandria. Energies are from PBE-GGA.

Cell and atoms, written as extended XYZ:
```
5
Lattice="6.089 0.000 0.000 0.000 6.089 0.000 0.000 0.000 6.496" Properties=species:S:1:pos:R:3 pbc="T T T"
Ba 0.000 0.000 0.000
V 3.045 3.045 3.248
As 0.000 0.000 3.248
Br 0.000 3.045 0.000
Br 3.045 0.000 0.000
```

Values from the calculation:
Its crystal system is tetragonal. As for the formation energy from raw total energies: 52.2 kJ/mol of atoms. The magnetic moment is 1.28 μB per formula unit. The value obtained for the calculated density is 2.92 Mg/m³. The symmetry is P4/mmm. The value obtained for the calculated volume is 241 Å³ per cell.